La4Pm7Sc | PBE-GGA | relaxed

abc: 11.987 5.986 13.213
angles: 90.00 116.16 90.00
Space group C2/m (No. 12)
One atom of each set of equivalent atoms:
La 0.088 0.000 0.294 x4
La 0.126 0.500 0.782 x4
Pm 0.000 0.000 0.000 x2
Pm 0.136 0.500 0.490 x4
Pm 0.188 0.000 0.651 x4
Pm 0.216 0.000 0.918 x4
Sc 0.000 0.500 0.000 x2

Properties
Energy of formation from the pure elements, eV per atom: 0.248
E_tot, eV per atom: -4.69